1.
VASP calculation (PBE) on a relaxed structure of SrCu2S2.

Lattice parameters (Å, degrees): 7.4135 7.4135 7.4135 131.29 131.29 71.35
Atoms (fractional coordinates):
Sr: 0.3750 0.6250 0.7500
Sr: 0.6250 0.3750 0.2500
Cu: 0.0000 0.0000 0.0000
Cu: 0.0000 0.0000 0.5000
Cu: 0.0000 0.5000 0.0000
Cu: 0.5000 0.0000 0.5000
S: 0.1263 0.3763 0.7500
S: 0.3763 0.1263 0.2500
S: 0.6237 0.8737 0.7500
S: 0.8737 0.6237 0.2500

Calculated volume: 22.513 Å³ per atom
Energy: -22.805 eV per formula unit
ρ: 4.1 g cm⁻³
Symmetry: I4_1/amd (141)


2.
VASP calculation (PBE) on a relaxed structure of SrCu2S2.

Lattice parameters (Å, degrees): 6.9940 6.4130 6.2288 67.16 57.68 55.16
Atoms (fractional coordinates):
Sr: 0.1250 0.1250 0.1250
Sr: 0.8750 0.8750 0.8750
Cu: 0.2451 0.5049 0.2451
Cu: 0.4951 0.7549 0.4951
Cu: 0.5049 0.2451 0.5049
Cu: 0.7549 0.4951 0.7549
S: 0.1681 0.1681 0.5819
S: 0.4181 0.4181 0.8319
S: 0.5819 0.5819 0.1681
S: 0.8319 0.8319 0.4181

Calculated volume: 19.239 Å³ per atom
Energy: -22.502 eV per formula unit
ρ: 4.8 g cm⁻³
Symmetry: Fddd (70)